Arrangement a

LaYP2 | GGA-PBEsol | relaxed Values from VASP.

```
&SYSTEM
  ibrav = 0, nat = 4, ntyp = 3
/
ATOMIC_SPECIES
P 30.97 P.upf
La 138.91 La.upf
Y 88.91 Y.upf
CELL_PARAMETERS angstrom
-3.566 -1.982 -0.350
-1.790 -1.595 3.319
-5.069 4.542 1.975
ATOMIC_POSITIONS angstrom
P -7.773 0.644 3.695
La 0.000 0.000 0.000
P -2.652 0.321 1.250
Y -5.212 0.483 2.472
```

Results
ρ: 4.960 Mg/m³
symmetry: R-3m, No. 166

***

Arrangement b

LaYP2 | GGA-PBEsol | relaxed Values from VASP.

```
&SYSTEM
  ibrav = 0, nat = 4, ntyp = 3
/
ATOMIC_SPECIES
Y 88.91 Y.upf
La 138.91 La.upf
P 30.97 P.upf
CELL_PARAMETERS angstrom
-3.101 1.771 -2.025
-1.793 -3.665 -0.458
-2.827 0.759 4.993
ATOMIC_POSITIONS angstrom
Y 0.000 0.000 0.000
La -3.861 -0.567 1.255
P -2.447 -0.947 -1.242
P -1.413 0.380 2.496
```

Results
ρ: 4.932 Mg/m³
symmetry: P4/mmm, No. 123

***

Most stable pick: arrangement a. Distance to second place: 3.3 kJ/mol of atoms.